{"formula": "Li3TcF", "functional": "PBEsol", "state": "optimized geometry", "formation_energy_uncorrected_ev_per_fu": 4.00, "total_energy_ev_per_cell": -15.10, "lattice_angstrom": [[5.075, 0.000, 0.000], [0.000, 5.075, 0.000], [0.000, 0.000, 5.075]], "species": ["Li", "Li", "Li", "Tc", "F"], "frac_coords": [[0.000, 0.500, 0.000], [0.000, 0.000, 0.500], [0.500, 0.000, 0.000], [0.000, 0.000, 0.000], [0.500, 0.500, 0.500]]}